CoAg2B2O6, optimized geometry, DFT GGA+U; spin magnetization = 4.39 μB/cell; uncorrected energy = -6.092 eV/atom; symmetry = C2/m
1.0
4.1657 -2.5790 0.0000
4.1657 2.5790 0.0000
-2.7529 0.0000 5.2642
Co Ag B O
1 2 2 6
Direct
0.0000 0.0000 0.0000
0.1993 0.1993 0.6656
0.8007 0.8007 0.3344
0.4346 0.4346 0.2194
0.5654 0.5654 0.7806
0.2397 0.6945 0.7297
0.2516 0.2516 0.1253
0.3055 0.7603 0.2703
0.6945 0.2397 0.7297
0.7484 0.7484 0.8747
0.7603 0.3055 0.2703